{
  "formula": "KLaCl2F",
  "functional": "PBE-GGA",
  "state": "relaxed",
  "formation_energy_uncorrected_mev_per_atom": -2318,
  "volume_a3_per_atom": 31.11,
  "e_tot_ev_per_atom": -4.636,
  "crystal_system": "tetragonal",
  "lattice_angstrom": [[5.7690, 0.0000, 0.0000], [0.0000, 5.7690, 0.0000], [0.0000, 0.0000, 4.6731]],
  "species": ["K", "La", "Cl", "Cl", "F"],
  "frac_coords": [[0.0000, 0.0000, 0.0000], [0.5000, 0.5000, 0.5000], [0.0000, 0.5000, 0.5000], [0.5000, 0.0000, 0.5000], [0.5000, 0.5000, 0.0000]]
}